Record 1
Entry from Alexandria: a relaxed structure of LiNdU2As4 (GGA-PBE).

The value obtained for the formation energy from the elements is -0.82 eV per atom. The total magnetization is 3.9 μB/f.u. The total energy comes out at -6.804 eV/atom.

Unit cell a=4.1272 b=7.0824 c=7.2218 alpha=109.21 beta=90.00 gamma=90.00
Sites, in units of the cell vectors:
U1 0.0000 0.5000 0.5000
U2 0.5000 0.0000 0.5000
Nd1 0.0000 0.0000 0.0000
As1 0.0000 0.2462 0.7324
As2 0.5000 0.2582 0.2624
As3 0.0000 0.7538 0.2676
As4 0.5000 0.7418 0.7376
Li1 0.5000 0.5000 0.0000

Record 2
Entry from Alexandria: a relaxed structure of PmZnSeO5 (GGA-PBE).

The uncorrected formation energy is -1.551 eV per atom. The total magnetization is 1.0 μB/f.u. The total energy comes out at -5.839 eV/atom.

Unit cell a=6.0483 b=6.0483 c=8.5129 alpha=110.97 beta=110.97 gamma=90.01
Sites, in units of the cell vectors:
Zn1 0.6867 0.3133 0.7500
Zn2 0.3133 0.6867 0.2500
O1 0.7256 0.2750 0.4500
O2 0.2744 0.7250 0.5500
O3 0.3289 0.3297 0.6629
O4 0.6703 0.6711 0.8371
O5 0.3297 0.3289 0.1629
O6 0.2750 0.7256 0.9500
O7 0.7250 0.2744 0.0500
O8 0.9024 0.0976 0.7500
O9 0.0976 0.9024 0.2500
O10 0.6711 0.6703 0.3371
Pm1 0.0000 0.0000 0.5000
Pm2 0.0000 0.0000 0.0000
Se1 0.3540 0.6460 0.7500
Se2 0.6460 0.3540 0.2500